Density functional theory data (PBE) for TaTl2I6 after structural relaxation.

Summary:
- total moment (μB per atom) = 0.111
- density (g/cm3) = 5.97
- D(E_F) (states/eV per atom) = 0.663
- energy relative to the elements, uncorrected (meV per atom) = -507

Cell: 7.9067 11.0885 8.5787 Å, 90.00 90.00 90.94°
Sites, in units of the cell vectors:
Ta 0.5000 0.0000 0.5000
Ta 0.0000 0.5000 0.0000
Tl 0.0259 0.2473 0.5945
Tl 0.4741 0.2527 0.0945
Tl 0.5259 0.7473 0.9055
Tl 0.9741 0.7527 0.4055
I 0.0900 0.7452 0.0130
I 0.1767 0.4585 0.2778
I 0.2071 0.0454 0.3246
I 0.2929 0.4546 0.8246
I 0.3233 0.0415 0.7778
I 0.4100 0.7548 0.5130
I 0.9100 0.2548 0.9870
I 0.8233 0.5415 0.7222
I 0.7929 0.9546 0.6754
I 0.7071 0.5454 0.1754
I 0.6767 0.9585 0.2222
I 0.5900 0.2452 0.4870